The following is a DFT calculation (GGA+U) of a relaxed structure of MnWO3.

## Properties
M_tot: 7.00 μB per formula unit
calculated total energy: -6.509 eV per atom
crystal system: cubic
DOS(E_F): 2.32 states/eV per cell

Cell and atoms, written as CIF:
```
data_MnWO3
_chemical_formula_sum 'Mn1 W1 O3'
_cell_length_a 3.814
_cell_length_b 3.814
_cell_length_c 3.814
_cell_angle_alpha 90.00
_cell_angle_beta 90.00
_cell_angle_gamma 90.00
_space_group_name_H-M_alt 'P m -3 m'
_space_group_IT_number 221
_space_group_name_Hall '-P 4 2 3'
loop_
_atom_site_label
_atom_site_fract_x
_atom_site_fract_y
_atom_site_fract_z
Mn1 0.000 0.000 0.000
W1 0.500 0.500 0.500
O1 0.000 0.000 0.500
```